LaSmY after structural relaxation, computed with PBE.

The structure belongs to space group C2/m (No. 12); the cell edges are 6.308, 3.642 and 18.043 Å and the angles 90.00°, 96.69° and 90.00°. The inequivalent atoms are La at (0.197, 0.000, 0.089), Sm at (0.080, 0.000, 0.742) and Y at (0.193, 0.500, 0.581).

As for the crystal system: monoclinic. The energy above the most stable polymorph in this dataset comes out at 9 meV/atom. The energy of formation from the pure elements comes out at 0.03 eV per atom. The calculation puts the size of the total moment at 0.0 μB/f.u.